# 1
DFT (PBE) results for a relaxed TmCd4Hg7 crystal.

a = 12.4236 Å, b = 6.1619 Å, c = 9.3492 Å
α = 90.00°, β = 120.45°, γ = 90.00°
Space group C2/m (No. 12)
Inequivalent atoms, fractional coordinates:
Tm1 0.0000 0.0000 0.0000 x2
Cd1 0.0033 0.5000 0.3334 x4
Cd2 0.2478 0.5000 0.3268 x4
Hg1 0.0000 0.5000 0.0000 x2
Hg2 0.0013 0.0000 0.3367 x4
Hg3 0.2442 0.5000 0.6593 x4
Hg4 0.2495 0.0000 0.0032 x4

formation enthalpy at 0 K: -0.0299 eV/atom
energy above the lowest structure with this stoichiometry: 48 meV per atom
size of the total moment: 0.00 μB/f.u.

***

# 2
DFT (PBE) results for a relaxed TaCoTe2 crystal.

a = 6.7445 Å, b = 6.7445 Å, c = 6.7445 Å
α = 90.00°, β = 90.00°, γ = 90.00°
Space group Fm-3m (No. 225)
Inequivalent atoms, fractional coordinates:
Ta1 0.0000 0.0000 0.0000 x4
Co1 0.0000 0.0000 0.5000 x4
Te1 0.2500 0.2500 0.2500 x8

E_form (uncorrected): 0.38 eV/atom
size of the total moment: 0.87 μB/f.u.

***

Number 1: electronic total energy -21.21 eV for the cell shown. Number 2: electronic total energy -94.90 eV for the cell shown.